4
Lattice="-2.179 2.179 4.059 2.179 -2.179 4.059 2.179 2.179 -4.059" Properties=species:S:1:pos:R:3 comment="LiZnIn2, relaxed, DFT GGA-PBEsol" mass_density_g_cm3=6.5 ef_kj_per_mol_atoms=-11.15 pbc="T T T"
Li 0.000 0.000 0.000
Zn 0.000 0.000 4.059
In 2.179 0.000 2.030
In 0.000 2.179 2.030